1.
# Rb2Ag2Bi

An optimized crystal structure of Rb2Ag2Bi (PBEsol, the Alexandria database).

Values from the calculation:
Calculated formation energy, meV per atom: 4
Volume, Å³/f.u.: 162.66
Total magnetization, Bohr magnetons per cell: 0.00

abc: 11.719 11.719 11.719
angles: 161.46 161.46 26.34
Fractional coordinates of all 5 atoms:
Rb1 0.115 0.115 0.000
Rb2 0.885 0.885 0.000
Ag1 0.250 0.750 0.500
Ag2 0.750 0.250 0.500
Bi1 0.500 0.500 0.000

2.
# ReAg3Bi

An optimized crystal structure of ReAg3Bi (PBEsol, the Alexandria database).

Values from the calculation:
Calculated formation energy, meV per atom: 1945
Volume, Å³/f.u.: 142.02
Total magnetization, Bohr magnetons per cell: 5.05

abc: 5.217 5.217 5.217
angles: 90.00 90.00 90.00
Fractional coordinates of all 5 atoms:
Re1 0.000 0.000 0.000
Ag1 0.000 0.500 0.500
Ag2 0.500 0.000 0.500
Ag3 0.500 0.500 0.000
Bi1 0.500 0.500 0.500

3.
# AgBiTe2Rh

An optimized crystal structure of AgBiTe2Rh (PBEsol, the Alexandria database).

Values from the calculation:
Volume, Å³/f.u.: 173.44
Total magnetization, Bohr magnetons per cell: 1.88
Formation energy (no corrections), eV per atom: 1.400

abc: 5.851 5.851 5.067
angles: 90.00 90.00 90.00
Fractional coordinates of all 5 atoms:
Ag1 0.000 0.000 0.000
Bi1 0.000 0.000 0.500
Te1 0.000 0.500 0.500
Te2 0.500 0.000 0.500
Rh1 0.500 0.500 0.000

4.
# Ag3Bi7S12

An optimized crystal structure of Ag3Bi7S12 (PBEsol, the Alexandria database).

Values from the calculation:
Volume, Å³/f.u.: 514.80
Total magnetization, Bohr magnetons per cell: 0.00
Formation energy (no corrections), eV per atom: -0.320

abc: 6.841 6.841 20.164
angles: 101.88 101.88 33.97
Fractional coordinates of all 22 atoms:
Ag1 0.000 0.000 0.000
Ag2 0.299 0.299 0.586
Ag3 0.701 0.701 0.414
Bi1 0.000 0.000 0.500
Bi2 0.077 0.077 0.232
Bi3 0.234 0.234 0.910
Bi4 0.383 0.383 0.329
Bi5 0.617 0.617 0.671
Bi6 0.766 0.766 0.090
Bi7 0.923 0.923 0.768
S1 0.031 0.031 0.368
S2 0.125 0.125 0.112
S3 0.275 0.275 0.707
S4 0.345 0.345 0.468
S5 0.365 0.365 0.028
S6 0.427 0.427 0.202
S7 0.573 0.573 0.798
S8 0.635 0.635 0.972
S9 0.655 0.655 0.532
S10 0.725 0.725 0.293
S11 0.875 0.875 0.888
S12 0.969 0.969 0.632

5.
# AgBiS2

An optimized crystal structure of AgBiS2 (PBEsol, the Alexandria database).

Values from the calculation:
Volume, Å³/f.u.: 84.65
Total magnetization, Bohr magnetons per cell: 0.00
Formation energy (no corrections), eV per atom: -0.261

abc: 6.568 6.568 6.568
angles: 35.33 35.33 35.33
Fractional coordinates of all 4 atoms:
Ag1 0.000 0.000 0.000
Bi1 0.500 0.500 0.500
S1 0.256 0.256 0.256
S2 0.744 0.744 0.744

6.
# Ag3Bi8S13

An optimized crystal structure of Ag3Bi8S13 (PBEsol, the Alexandria database).

Values from the calculation:
Volume, Å³/f.u.: 562.52
Total magnetization, Bohr magnetons per cell: 0.00
Formation energy (no corrections), eV per atom: -0.299

abc: 6.763 6.763 21.305
angles: 94.01 94.01 35.37
Fractional coordinates of all 24 atoms:
Ag1 0.000 0.000 0.000
Ag2 0.414 0.414 0.626
Ag3 0.586 0.586 0.374
Bi1 0.030 0.030 0.214
Bi2 0.140 0.140 0.541
Bi3 0.252 0.252 0.917
Bi4 0.310 0.310 0.297
Bi5 0.690 0.690 0.703
Bi6 0.748 0.748 0.083
Bi7 0.860 0.860 0.459
Bi8 0.970 0.970 0.786
S1 0.051 0.051 0.656
S2 0.104 0.104 0.103
S3 0.218 0.218 0.421
S4 0.332 0.332 0.735
S5 0.360 0.360 0.026
S6 0.390 0.390 0.184
S7 0.500 0.500 0.500
S8 0.610 0.610 0.816
S9 0.640 0.640 0.974
S10 0.668 0.668 0.265
S11 0.782 0.782 0.579
S12 0.896 0.896 0.897
S13 0.949 0.949 0.344

7.
# AgBiS2

An optimized crystal structure of AgBiS2 (PBEsol, the Alexandria database).

Values from the calculation:
Volume, Å³/f.u.: 85.52
Total magnetization, Bohr magnetons per cell: 0.00
Formation energy (no corrections), eV per atom: -0.221

abc: 6.813 6.813 6.813
angles: 132.02 132.02 70.19
Fractional coordinates of all 8 atoms:
Ag1 0.375 0.625 0.750
Ag2 0.625 0.375 0.250
Bi1 0.125 0.875 0.250
Bi2 0.875 0.125 0.750
S1 0.128 0.378 0.750
S2 0.378 0.128 0.250
S3 0.622 0.872 0.750
S4 0.872 0.622 0.250

8.
# AgBiS2

An optimized crystal structure of AgBiS2 (PBEsol, the Alexandria database).

Values from the calculation:
Volume, Å³/f.u.: 111.44
Total magnetization, Bohr magnetons per cell: 0.00
Formation energy (no corrections), eV per atom: -0.188

abc: 7.928 7.928 7.928
angles: 30.16 30.16 30.16
Fractional coordinates of all 4 atoms:
Ag1 0.000 0.000 0.000
Bi1 0.500 0.500 0.500
S1 0.102 0.102 0.102
S2 0.898 0.898 0.898

9.
# AgBi3S5

An optimized crystal structure of AgBi3S5 (PBEsol, the Alexandria database).

Values from the calculation:
Volume, Å³/f.u.: 215.18
Total magnetization, Bohr magnetons per cell: 0.00
Formation energy (no corrections), eV per atom: -0.337

abc: 6.916 6.916 16.339
angles: 94.15 94.15 33.52
Fractional coordinates of all 18 atoms:
Ag1 0.000 0.000 0.000
Ag2 0.500 0.500 0.500
Bi1 0.028 0.028 0.280
Bi2 0.236 0.236 0.608
Bi3 0.275 0.275 0.109
Bi4 0.725 0.725 0.891
Bi5 0.764 0.764 0.392
Bi6 0.972 0.972 0.720
S1 0.076 0.076 0.865
S2 0.140 0.140 0.444
S3 0.339 0.339 0.760
S4 0.352 0.352 0.966
S5 0.412 0.412 0.359
S6 0.588 0.588 0.641
S7 0.648 0.648 0.034
S8 0.661 0.661 0.240
S9 0.860 0.860 0.556
S10 0.924 0.924 0.135

10.
# AgBiS2

An optimized crystal structure of AgBiS2 (PBEsol, the Alexandria database).

Values from the calculation:
Volume, Å³/f.u.: 108.40
Total magnetization, Bohr magnetons per cell: 0.00
Formation energy (no corrections), eV per atom: -0.115

abc: 7.519 7.519 7.519
angles: 133.94 133.94 67.18
Fractional coordinates of all 8 atoms:
Ag1 0.000 0.000 0.000
Ag2 0.750 0.250 0.500
Bi1 0.250 0.750 0.500
Bi2 0.500 0.500 0.000
S1 0.097 0.625 0.972
S2 0.375 0.347 0.472
S3 0.653 0.125 0.028
S4 0.875 0.903 0.528

11.
# Ag2Bi2SeS3

An optimized crystal structure of Ag2Bi2SeS3 (PBEsol, the Alexandria database).

Values from the calculation:
Volume, Å³/f.u.: 176.20
Total magnetization, Bohr magnetons per cell: 0.00
Formation energy (no corrections), eV per atom: -0.212

abc: 6.871 6.871 6.871
angles: 132.44 131.31 70.43
Fractional coordinates of all 8 atoms:
Ag1 0.000 0.000 0.000
Ag2 0.739 0.239 0.500
Bi1 0.238 0.738 0.500
Bi2 0.487 0.487 0.000
Se1 0.750 0.750 0.000
S1 0.238 0.238 0.000
S2 0.492 0.992 0.500
S3 0.989 0.489 0.500

12.
# Ag2SnBiS4

An optimized crystal structure of Ag2SnBiS4 (PBEsol, the Alexandria database).

Values from the calculation:
Volume, Å³/f.u.: 164.37
Total magnetization, Bohr magnetons per cell: 0.00
Formation energy (no corrections), eV per atom: -0.249

abc: 6.722 6.722 6.722
angles: 132.02 132.02 70.20
Fractional coordinates of all 8 atoms:
Ag1 0.000 0.000 0.000
Ag2 0.750 0.250 0.500
Sn1 0.250 0.750 0.500
Bi1 0.500 0.500 0.000
S1 0.001 0.501 0.500
S2 0.245 0.245 0.000
S3 0.499 0.999 0.500
S4 0.755 0.755 0.000